Computed, not measured: a relaxed Sc4Au crystal at the PBE-GGA level of DFT.

Properties
**VASP energy**: -5.62 eV/atom
**Polymorph energy (0 for the lowest one)**: 350 meV per atom
**Formation energy**: 0.105 eV/atom
**Fermi-level density of states**: 9.853 states/eV/f.u.

Cell: 5.1899 5.1899 5.1899 Å, 90.00 90.00 90.00°
Space group Pm-3m (No. 221)
Symmetry-distinct sites (fractional):
1 Sc 0.0000 0.0000 0.0000 x1
2 Sc 0.0000 0.5000 0.5000 x3
3 Au 0.5000 0.5000 0.5000 x1